# 1
The following is a DFT calculation (PBE-GGA) of a geometry-optimized NdSm2Sc2 structure.

Unit cell a=8.513 b=8.513 c=6.547 alpha=99.87 beta=99.87 gamma=134.94
Fractional positions:
Sc: 0.649 0.351 0.750
Sm: 0.297 0.207 0.000
Sc: 0.351 0.649 0.250
Sm: 0.793 0.703 0.500
Sm: 0.207 0.297 0.500
Sm: 0.703 0.793 0.000
Nd: 0.160 0.840 0.250
Sc: 0.751 0.249 0.250
Sc: 0.249 0.751 0.750
Nd: 0.840 0.160 0.750

Properties
Relative energy among the computed polymorphs: 43 meV/atom
Symmetry: C2/c (15)

# 2
The following is a DFT calculation (PBE-GGA) of a geometry-optimized Sm4In2AgHg structure.

Unit cell a=5.378 b=5.378 c=9.333 alpha=73.25 beta=73.25 gamma=60.00
Each line ends with the local moment (μB).
Fractional positions:
Sm: 0.874 0.874 0.378  0.17
Ag: 0.500 0.500 0.500  0.03
In: 0.750 0.750 0.749  0.00
In: 0.250 0.250 0.251  0.00
Sm: 0.624 0.624 0.128  0.17
Hg: 0.000 0.000 0.000  0.02
Sm: 0.126 0.126 0.622  0.17
Sm: 0.376 0.376 0.872  0.17

Properties
Energy: -30.89 eV per cell
Symmetry: R-3m (166)

# 3
The following is a DFT calculation (PBE-GGA) of a geometry-optimized Ac2CdGa2 structure.

Unit cell a=4.862 b=6.327 c=10.448 alpha=86.11 beta=76.55 gamma=67.40
Fractional positions:
Cd: 0.628 0.097 0.647
Ac: 0.086 0.731 0.097
Ga: 0.927 0.705 0.440
Ac: 0.914 0.269 0.903
Ga: 0.073 0.295 0.560
Cd: 0.372 0.903 0.353
Ga: 0.628 0.855 0.888
Ac: 0.682 0.310 0.327
Ac: 0.318 0.690 0.673
Ga: 0.372 0.145 0.112

Properties
Energy: -35.08 eV per cell
Symmetry: C2/m (12)

# 4
The following is a DFT calculation (PBE-GGA) of a geometry-optimized InNiAu2 structure.

Unit cell a=3.897 b=3.897 c=10.149 alpha=78.93 beta=78.93 gamma=90.00
Fractional positions:
Au: 0.133 0.625 0.250
Ni: 0.500 0.500 0.000
In: 0.750 0.250 0.500
Au: 0.617 0.125 0.250
Au: 0.375 0.383 0.750
Ni: 0.250 0.750 0.500
Au: 0.875 0.867 0.750
In: 0.000 0.000 0.000

Properties
Energy: -29.43 eV per cell
Symmetry: I-42d (122)